1.
{
  "formula": "LaTaBi3",
  "functional": "PBE",
  "state": "optimized geometry",
  "lattice_angstrom": [[-2.427, -1.215, 4.815], [4.748, -2.138, 1.854], [1.455, 4.950, 1.983]],
  "species": ["Bi", "Bi", "Bi", "La", "Ta"],
  "fractional_positions": [[0.000, 0.000, 0.500], [0.000, 0.500, 0.000], [0.500, 0.000, 0.000], [0.500, 0.500, 0.500], [0.000, 0.000, 0.000]],
  "spacegroup": "No. 221",
  "e_above_lowest_polymorph_mev_per_atom": 0,
  "formation_enthalpy_0k_mev_per_atom": 167,
  "dos_ef_per_ev_atom": 0.5489
}



2.
{
  "formula": "LaTa2Bi",
  "functional": "PBE",
  "state": "optimized geometry",
  "lattice_angstrom": [[-0.754, 2.647, -8.012], [6.469, -4.983, -2.255], [0.932, -3.413, -5.694]],
  "species": ["Ta", "Ta", "Ta", "Ta", "La", "La", "Bi", "Bi"],
  "fractional_positions": [[0.667, 0.125, 0.250], [0.375, 0.333, 0.750], [0.083, 0.625, 0.250], [0.875, 0.917, 0.750], [0.250, 0.750, 0.500], [0.500, 0.500, 0.000], [0.750, 0.250, 0.500], [0.000, 0.000, 0.000]],
  "spacegroup": "No. 122",
  "formation_enthalpy_0k_mev_per_atom": 966,
  "dos_ef_per_ev_atom": 1.0806
}



3.
{
  "formula": "LaTa2TcBi",
  "functional": "PBE",
  "state": "optimized geometry",
  "lattice_angstrom": [[-4.006, -2.862, -1.743], [3.229, -3.502, -1.671], [-0.262, -2.441, 4.610]],
  "species": ["Ta", "Ta", "Bi", "Tc", "La"],
  "fractional_positions": [[0.500, 0.000, 0.000], [0.000, 0.000, 0.500], [0.000, 0.000, 0.000], [0.000, 0.500, 0.000], [0.500, 0.500, 0.500]],
  "spacegroup": "No. 123",
  "formation_enthalpy_0k_mev_per_atom": 1659,
  "dos_ef_per_ev_atom": 1.3672
}



4.
{
  "formula": "LaTaBi2W",
  "functional": "PBE",
  "state": "optimized geometry",
  "lattice_angstrom": [[5.452, 0.000, 0.000], [0.000, 4.969, 0.000], [0.000, 0.000, 5.452]],
  "species": ["W", "Bi", "Bi", "La", "Ta"],
  "fractional_positions": [[0.000, 0.000, 0.000], [0.000, 0.000, 0.500], [0.500, 0.000, 0.000], [0.500, 0.500, 0.500], [0.000, 0.500, 0.000]],
  "spacegroup": "No. 123",
  "formation_enthalpy_0k_mev_per_atom": 771,
  "dos_ef_per_ev_atom": 1.1327
}



5.
{
  "formula": "La2TbBi2",
  "functional": "PBE",
  "state": "optimized geometry",
  "lattice_angstrom": [[-1.422, 0.849, -6.350], [-2.336, -8.574, -0.623], [-3.980, 5.349, 4.997]],
  "species": ["La", "La", "La", "La", "Bi", "Bi", "Bi", "Bi", "Tb", "Tb"],
  "fractional_positions": [[0.851, 0.707, 0.702], [0.649, 0.005, 0.298], [0.149, 0.293, 0.298], [0.351, 0.995, 0.702], [0.391, 0.667, 0.783], [0.609, 0.333, 0.217], [0.109, 0.884, 0.217], [0.891, 0.116, 0.783], [0.250, 0.500, 0.000], [0.750, 0.500, 0.000]],
  "spacegroup": "No. 72",
  "formation_enthalpy_0k_mev_per_atom": -692,
  "dos_ef_per_ev_atom": 1.0234
}



6.
{
  "formula": "La2TbBi",
  "functional": "PBE",
  "state": "optimized geometry",
  "lattice_angstrom": [[-3.305, -2.145, 1.467], [-0.783, -3.880, -1.416], [4.258, -5.761, 7.192]],
  "species": ["Tb", "Bi", "La", "La"],
  "fractional_positions": [[0.500, 0.500, 0.501], [0.667, 0.667, 0.000], [0.261, 0.261, 0.216], [0.072, 0.072, 0.784]],
  "spacegroup": "No. 160",
  "e_above_lowest_polymorph_mev_per_atom": 225,
  "formation_enthalpy_0k_mev_per_atom": -232,
  "dos_ef_per_ev_atom": 1.2779
}



Number 1 is which compound?
LaTaBi3